# HgW3O (PBE+U, relaxed)
data_HgW3O
_symmetry_space_group_name_H-M 'P m -3 m'
_symmetry_Int_Tables_number 221
_symmetry_space_group_name_Hall '-P 4 2 3'
_cell_length_a 4.263
_cell_length_b 4.263
_cell_length_c 4.263
_cell_angle_alpha 90.00
_cell_angle_beta 90.00
_cell_angle_gamma 90.00
loop_
_atom_site_label
_atom_site_fract_x
_atom_site_fract_y
_atom_site_fract_z
Hg1 0.000 0.000 0.000
W1 0.000 0.500 0.500
O1 0.500 0.500 0.500
# Offset from the most stable computed form: 0.00 kcal/mol of atoms
# Density: 16.47 Mg/m³
# Size of the total moment: 0.4 μB per cell